TlNiN2O after structural relaxation. Source: Alexandria via LeMat-Bulk, functional PBE+U.

Structure (CIF):
```
data_TlNiN2O
_cell_length_a 3.8113
_cell_length_b 3.8113
_cell_length_c 4.0972
_cell_angle_alpha 90.00
_cell_angle_beta 90.00
_cell_angle_gamma 90.00
_space_group_name_H-M_alt 'P 4/m m m'
_space_group_IT_number 123
_space_group_name_Hall '-P 4 2'
loop_
_atom_site_label
_atom_site_fract_x
_atom_site_fract_y
_atom_site_fract_z
Tl1 0.0000 0.0000 0.0000
Ni1 0.5000 0.5000 0.5000
N1 0.0000 0.5000 0.5000
O1 0.5000 0.5000 0.0000
```

* E_tot: -0.15384 Ha/atom
* N(E_F): 1.99 states/eV/f.u.
* V: 59.5 Å³/cell


TlNiNO2 after structural relaxation. Source: Alexandria via LeMat-Bulk, functional PBE+U.

Structure (CIF):
```
data_TlNiNO2
_cell_length_a 3.9414
_cell_length_b 3.9414
_cell_length_c 3.7317
_cell_angle_alpha 90.00
_cell_angle_beta 90.00
_cell_angle_gamma 90.00
_space_group_name_H-M_alt 'P 4/m m m'
_space_group_IT_number 123
_space_group_name_Hall '-P 4 2'
loop_
_atom_site_label
_atom_site_fract_x
_atom_site_fract_y
_atom_site_fract_z
Tl1 0.0000 0.0000 0.0000
Ni1 0.5000 0.5000 0.5000
N1 0.5000 0.5000 0.0000
O1 0.0000 0.5000 0.5000
```

* E_tot: -0.15570 Ha/atom
* N(E_F): 1.46 states/eV/f.u.
* V: 58.0 Å³/cell


TlNiN2O after structural relaxation. Source: Alexandria via LeMat-Bulk, functional PBE+U.

Structure (CIF):
```
data_TlNiN2O
_cell_length_a 4.3022
_cell_length_b 4.3022
_cell_length_c 4.2404
_cell_angle_alpha 90.00
_cell_angle_beta 90.00
_cell_angle_gamma 90.00
_space_group_name_H-M_alt 'P 4/m m m'
_space_group_IT_number 123
_space_group_name_Hall '-P 4 2'
loop_
_atom_site_label
_atom_site_fract_x
_atom_site_fract_y
_atom_site_fract_z
Tl1 0.0000 0.0000 0.0000
Ni1 0.5000 0.5000 0.5000
N1 0.0000 0.5000 0.0000
O1 0.0000 0.0000 0.5000
```

* E_tot: -0.11927 Ha/atom
* N(E_F): 4.45 states/eV/f.u.
* V: 78.5 Å³/cell


TlNiNO2 after structural relaxation. Source: Alexandria via LeMat-Bulk, functional PBE+U.

Structure (CIF):
```
data_TlNiNO2
_cell_length_a 4.2657
_cell_length_b 4.2657
_cell_length_c 4.2304
_cell_angle_alpha 90.00
_cell_angle_beta 90.00
_cell_angle_gamma 90.00
_space_group_name_H-M_alt 'P 4/m m m'
_space_group_IT_number 123
_space_group_name_Hall '-P 4 2'
loop_
_atom_site_label
_atom_site_fract_x
_atom_site_fract_y
_atom_site_fract_z
Tl1 0.0000 0.0000 0.0000
Ni1 0.5000 0.5000 0.5000
N1 0.0000 0.0000 0.5000
O1 0.0000 0.5000 0.0000
```

* E_tot: -0.11667 Ha/atom
* N(E_F): 6.36 states/eV/f.u.
* V: 77.0 Å³/cell


VNiNO2 after structural relaxation. Source: Alexandria via LeMat-Bulk, functional PBE+U.

Structure (CIF):
```
data_VNiNO2
_cell_length_a 3.6678
_cell_length_b 3.6678
_cell_length_c 3.9931
_cell_angle_alpha 90.00
_cell_angle_beta 90.00
_cell_angle_gamma 90.00
_space_group_name_H-M_alt 'P 4/m m m'
_space_group_IT_number 123
_space_group_name_Hall '-P 4 2'
loop_
_atom_site_label
_atom_site_fract_x
_atom_site_fract_y
_atom_site_fract_z
V1 0.0000 0.0000 0.0000
Ni1 0.5000 0.5000 0.5000
N1 0.0000 0.0000 0.5000
O1 0.0000 0.5000 0.0000
```

* E_tot: -0.21997 Ha/atom
* N(E_F): 1.20 states/eV/f.u.
* V: 53.7 Å³/cell


VNiNO2 after structural relaxation. Source: Alexandria via LeMat-Bulk, functional PBE+U.

Structure (CIF):
```
data_VNiNO2
_cell_length_a 3.6819
_cell_length_b 3.6819
_cell_length_c 3.6480
_cell_angle_alpha 90.00
_cell_angle_beta 90.00
_cell_angle_gamma 90.00
_space_group_name_H-M_alt 'P 4/m m m'
_space_group_IT_number 123
_space_group_name_Hall '-P 4 2'
loop_
_atom_site_label
_atom_site_fract_x
_atom_site_fract_y
_atom_site_fract_z
V1 0.0000 0.0000 0.0000
Ni1 0.5000 0.5000 0.5000
N1 0.5000 0.5000 0.0000
O1 0.0000 0.5000 0.5000
```

* E_tot: -0.19895 Ha/atom
* N(E_F): 1.98 states/eV/f.u.
* V: 49.5 Å³/cell


NiWNO2 after structural relaxation. Source: Alexandria via LeMat-Bulk, functional PBE+U.

Structure (CIF):
```
data_NiWNO2
_cell_length_a 3.8907
_cell_length_b 3.8907
_cell_length_c 4.0015
_cell_angle_alpha 90.00
_cell_angle_beta 90.00
_cell_angle_gamma 90.00
_space_group_name_H-M_alt 'P 4/m m m'
_space_group_IT_number 123
_space_group_name_Hall '-P 4 2'
loop_
_atom_site_label
_atom_site_fract_x
_atom_site_fract_y
_atom_site_fract_z
Ni1 0.0000 0.0000 0.0000
W1 0.5000 0.5000 0.5000
N1 0.5000 0.5000 0.0000
O1 0.0000 0.5000 0.5000
```

* E_tot: -0.22553 Ha/atom
* N(E_F): 2.18 states/eV/f.u.
* V: 60.6 Å³/cell


NiWN2O after structural relaxation. Source: Alexandria via LeMat-Bulk, functional PBE+U.

Structure (CIF):
```
data_NiWN2O
_cell_length_a 3.6815
_cell_length_b 3.6815
_cell_length_c 3.6566
_cell_angle_alpha 90.00
_cell_angle_beta 90.00
_cell_angle_gamma 90.00
_space_group_name_H-M_alt 'P 4/m m m'
_space_group_IT_number 123
_space_group_name_Hall '-P 4 2'
loop_
_atom_site_label
_atom_site_fract_x
_atom_site_fract_y
_atom_site_fract_z
Ni1 0.0000 0.0000 0.0000
W1 0.5000 0.5000 0.5000
N1 0.0000 0.5000 0.0000
O1 0.0000 0.0000 0.5000
```

* E_tot: -0.18953 Ha/atom
* N(E_F): 2.05 states/eV/f.u.
* V: 49.6 Å³/cell


Which value of V does entry 1 give?
59.5 Å³/cell